# 1
HoCdSn | GGA-PBE | relaxed

Summary:
**D(E_F)**: 1.4 states/eV/cell
**DFT total energy**: -10.7 eV per cell
**V**: 74.2 Å³ per cell
**Calculated formation energy**: -0.413 eV/atom

CIF file:
```
data_HoCdSn
_cell_length_a 4.9689
_cell_length_b 4.9689
_cell_length_c 3.4724
_cell_angle_alpha 90.00
_cell_angle_beta 90.00
_cell_angle_gamma 120.00
_symmetry_space_group_name_H-M 'P -6 m 2'
_symmetry_Int_Tables_number 187
_symmetry_space_group_name_Hall 'P -6 2'
loop_
_atom_site_label
_atom_site_fract_x
_atom_site_fract_y
_atom_site_fract_z
_atom_site_occupancy
Ho1 0.0000 0.0000 0.0000 1
Cd1 0.6667 0.3333 0.5000 1
Sn1 0.3333 0.6667 0.5000 1
```


# 2
HoCd2Sn | GGA-PBE | relaxed

Summary:
**ΔE to the lowest computed polymorph**: 0.585 eV per atom
**D(E_F)**: 8.2 states/eV/cell
**DFT total energy**: -29.1 eV per cell
**V**: 331.9 Å³ per cell
**Calculated formation energy**: 0.178 eV/atom

CIF file:
```
data_HoCd2Sn
_cell_length_a 3.3333
_cell_length_b 3.3333
_cell_length_c 34.4909
_cell_angle_alpha 90.00
_cell_angle_beta 90.00
_cell_angle_gamma 120.00
_symmetry_space_group_name_H-M 'R -3 m'
_symmetry_Int_Tables_number 166
_symmetry_space_group_name_Hall '-R 3 2"'
loop_
_atom_site_label
_atom_site_fract_x
_atom_site_fract_y
_atom_site_fract_z
_atom_site_occupancy
Ho1 0.0000 0.0000 0.0000 1
Cd1 0.0000 0.0000 0.0901 1
Sn1 0.0000 0.0000 0.5000 1
```


# 3
Ho2CdSn4 | GGA-PBE | relaxed

Summary:
**ΔE to the lowest computed polymorph**: 0.000 eV per atom
**D(E_F)**: 6.6 states/eV/cell
**DFT total energy**: -58.0 eV per cell
**V**: 379.3 Å³ per cell
**Calculated formation energy**: -0.414 eV/atom

CIF file:
```
data_Ho2CdSn4
_cell_length_a 8.945
_cell_length_b 9.291
_cell_length_c 4.565
_cell_angle_alpha 90.00
_cell_angle_beta 90.00
_cell_angle_gamma 90.00
_symmetry_space_group_name_H-M 'C m m m'
_symmetry_Int_Tables_number 65
_symmetry_space_group_name_Hall '-C 2 2'
loop_
_atom_site_label
_atom_site_fract_x
_atom_site_fract_y
_atom_site_fract_z
_atom_site_occupancy
Ho1 0.000 0.246 0.000 1
Cd1 0.000 0.500 0.500 1
Sn1 0.243 0.000 0.000 1
Sn2 0.250 0.250 0.500 1
```